Below is As2PPt after structural relaxation, with properties calculated at the PBEsol level.

Cell lengths 3.613, 3.613, 5.199 Å; angles 90.00, 90.00, 90.00 degrees
Fractional coordinates of all 4 atoms:
As1 0.000 0.000 0.000
As2 0.500 0.500 0.039
P1 0.000 0.000 0.548
Pt1 0.500 0.500 0.527

**Calculated total energy**: -23.19 eV/f.u.
**Theoretical density**: 9195 kg/m³
**Fermi-level density of states**: 1.53 states/eV/f.u.